No. 1
This record from Alexandria describes a geometry-optimized TiGe structure. The functional is PBE.

```
TiGe
1.0
4.445 0.000 0.000
-2.222 3.849 0.000
0.000 0.000 5.065
Ti Ge
2 2
direct
0.667 0.333 0.250
0.333 0.667 0.750
0.667 0.333 0.750
0.333 0.667 0.250
```

SG: P6_3/mmc
DOS at the Fermi energy, states/eV per cell: 1.52
Crystal system: hexagonal
Calculated density, kg/m³: 4619
Formation energy, eV per atom: -0.149
Calculated volume, A^3/atom: 21.662
Total moment, μB per atom: 0.000


No. 2
This record from Alexandria describes a geometry-optimized Ga2CoPtW structure. The functional is PBE.

```
Ga2CoPtW
1.0
4.303 0.000 0.000
0.000 4.608 0.000
0.000 0.000 4.303
Pt Co Ga W
1 1 2 1
direct
0.000 0.500 0.000
0.000 0.000 0.000
0.000 0.000 0.500
0.500 0.000 0.000
0.500 0.500 0.500
```

SG: P4/mmm
DOS at the Fermi energy, states/eV per cell: 11.73
Crystal system: tetragonal
Calculated density, kg/m³: 11236
Formation energy, eV per atom: 0.972
Calculated volume, A^3/atom: 17.064
Total moment, μB per atom: 0.001


No. 3
This record from Alexandria describes a geometry-optimized ScIrN3 structure. The functional is PBE.

```
ScIrN3
1.0
-2.621 0.732 -2.724
-2.262 -2.767 1.433
-1.685 2.575 2.313
Sc N Ir
1 3 1
direct
0.500 0.500 0.500
0.000 0.000 0.500
0.000 0.500 0.000
0.500 0.000 0.000
0.000 0.000 0.000
```

Formation energy (no corrections), meV per atom: 502.0
SG: Pm-3m
DOS at the Fermi energy, states/eV per cell: 4.10
Crystal system: cubic
Calculated density, kg/m³: 8123
Calculated volume, A^3/atom: 11.415
Total moment, μB per atom: 0.000


No. 4
This record from Alexandria describes a geometry-optimized Pa3Fe2Ge4 structure. The functional is PBE.

```
Pa3Fe2Ge4
1.0
-0.650 0.967 -4.178
-2.346 -4.724 1.523
-5.859 5.141 2.101
Pa Fe Ge
3 2 4
direct
0.000 0.000 0.000
0.643 0.286 0.678
0.357 0.714 0.322
0.573 0.146 0.280
0.427 0.854 0.720
0.280 0.560 0.920
0.720 0.440 0.080
0.088 0.177 0.403
0.912 0.823 0.597
```

SG: C2/m
DOS at the Fermi energy, states/eV per cell: 5.87
Crystal system: monoclinic
Calculated density, kg/m³: 10473
Formation energy, eV per atom: -0.486
Calculated volume, A^3/atom: 19.298
Total moment, μB per atom: 0.000


No. 5
This record from Alexandria describes a geometry-optimized TiVIr2 structure. The functional is PBE.

```
TiVIr2
1.0
-3.972 1.807 0.286
-2.267 0.883 -3.633
-3.549 -2.354 -0.989
Ir Ti V
2 1 1
direct
0.250 0.250 0.250
0.750 0.750 0.750
0.500 0.500 0.500
0.000 0.000 0.000
```

SG: Fm-3m
DOS at the Fermi energy, states/eV per cell: 6.56
Crystal system: cubic
Calculated density, kg/m³: 13574
Formation energy, eV per atom: -0.476
Calculated volume, A^3/atom: 14.779
Total moment, μB per atom: 0.623